{
  "formula": "NaHfSiIr",
  "functional": "PBE-GGA",
  "state": "optimized geometry",
  "lattice": [[3.708, 2.581, 0.770], [-0.258, 3.595, 2.831], [2.084, -0.142, 4.079]],
  "species": ["Hf", "Si", "Ir", "Na"],
  "frac_coords": [[0.250, 0.250, 0.250], [0.500, 0.500, 0.500], [0.000, 0.000, 0.000], [0.750, 0.750, 0.750]],
  "polymorph_energy_mev_per_atom": 249
}

=====

{
  "formula": "K2Ag2Mo3",
  "functional": "PBE-GGA",
  "state": "optimized geometry",
  "lattice": [[2.325, 5.559, 8.919], [-2.111, 5.765, 8.841], [-0.083, 2.196, 10.537]],
  "species": ["Ag", "Ag", "K", "K", "Mo", "Mo", "Mo"],
  "frac_coords": [[0.557, 0.557, 0.557], [0.023, 0.023, 0.023], [0.168, 0.168, 0.168], [0.752, 0.752, 0.752], [0.297, 0.297, 0.297], [0.935, 0.935, 0.935], [0.642, 0.642, 0.642]],
  "total_energy_ev_per_fu": -35.65
}

=====

{
  "formula": "Fe2PdI4Br4",
  "functional": "PBE-GGA",
  "state": "optimized geometry",
  "lattice": [[-0.186, -1.416, -8.117], [-5.592, -5.693, -2.060], [-4.479, 5.891, 0.162]],
  "species": ["I", "I", "I", "I", "Br", "Br", "Br", "Br", "Fe", "Fe", "Pd"],
  "frac_coords": [[0.625, 0.625, 0.703], [0.375, 0.375, 0.297], [0.183, 0.183, 0.667], [0.817, 0.817, 0.333], [0.302, 0.910, 0.163], [0.698, 0.090, 0.837], [0.910, 0.302, 0.163], [0.090, 0.698, 0.837], [0.199, 0.199, 0.335], [0.801, 0.801, 0.665], [0.000, 0.000, 0.000]],
  "polymorph_energy_mev_per_atom": 52
}

=====

{
  "formula": "Nd2GdAg4Sn4",
  "functional": "PBE-GGA",
  "state": "optimized geometry",
  "lattice": [[-2.330, 3.675, 7.746], [2.330, -3.675, 7.746], [2.330, 3.675, -7.746]],
  "species": ["Sn", "Sn", "Sn", "Sn", "Ag", "Ag", "Ag", "Ag", "Nd", "Nd", "Gd"],
  "frac_coords": [[0.286, 0.786, 0.500], [0.198, 0.500, 0.698], [0.802, 0.500, 0.302], [0.714, 0.214, 0.500], [0.132, 0.329, 0.803], [0.526, 0.329, 0.197], [0.474, 0.671, 0.803], [0.868, 0.671, 0.197], [0.872, 0.872, 0.000], [0.128, 0.128, 0.000], [0.500, 0.000, 0.500]],
  "total_energy_ev_per_fu": -47.44
}

=====

{
  "formula": "Dy3GaO6",
  "functional": "PBE-GGA",
  "state": "optimized geometry",
  "lattice": [[0.000, 0.000, 5.398], [4.415, -5.533, 0.000], [4.415, 5.533, 0.000]],
  "species": ["O", "O", "O", "O", "O", "O", "O", "O", "O", "O", "O", "O", "Dy", "Dy", "Dy", "Dy", "Dy", "Dy", "Ga", "Ga"],
  "frac_coords": [[0.197, 0.323, 0.356], [0.662, 0.783, 0.217], [0.162, 0.217, 0.783], [0.680, 0.422, 0.895], [0.180, 0.895, 0.422], [0.197, 0.644, 0.677], [0.643, 0.037, 0.963], [0.680, 0.105, 0.578], [0.697, 0.356, 0.323], [0.697, 0.677, 0.644], [0.180, 0.578, 0.105], [0.143, 0.963, 0.037], [0.470, 0.702, 0.913], [0.970, 0.913, 0.702], [0.470, 0.087, 0.298], [0.922, 0.398, 0.602], [0.422, 0.602, 0.398], [0.970, 0.298, 0.087], [0.500, 0.193, 0.807], [0.000, 0.807, 0.193]],
  "total_energy_ev_per_fu": -78.31
}

=====

{
  "formula": "LuBeCoSn",
  "functional": "PBE-GGA",
  "state": "optimized geometry",
  "lattice": [[0.000, 3.205, 3.205], [3.205, 0.000, 3.205], [3.205, 3.205, 0.000]],
  "species": ["Lu", "Co", "Sn", "Be"],
  "frac_coords": [[0.500, 0.500, 0.500], [0.000, 0.000, 0.000], [0.250, 0.250, 0.250], [0.750, 0.750, 0.750]],
  "polymorph_energy_mev_per_atom": 205
}

=====

{
  "formula": "SmScTe",
  "functional": "PBE-GGA",
  "state": "optimized geometry",
  "lattice": [[0.000, 3.515, 3.515], [3.515, 0.000, 3.515], [3.515, 3.515, 0.000]],
  "species": ["Sc", "Te", "Sm"],
  "frac_coords": [[0.250, 0.250, 0.250], [0.000, 0.000, 0.000], [0.750, 0.750, 0.750]],
  "polymorph_energy_mev_per_atom": 428
}

=====

{
  "formula": "TlMo3P5",
  "functional": "PBE-GGA",
  "state": "optimized geometry",
  "lattice": [[-0.949, 5.176, 0.570], [-1.097, -2.402, -4.587], [-7.000, -1.558, 2.490]],
  "species": ["P", "P", "P", "P", "P", "Tl", "Mo", "Mo", "Mo"],
  "frac_coords": [[0.333, 0.667, 0.764], [0.333, 0.667, 0.236], [0.000, 0.000, 0.500], [0.667, 0.333, 0.236], [0.667, 0.333, 0.764], [0.000, 0.000, 0.000], [0.500, 0.500, 0.500], [0.500, 0.000, 0.500], [0.000, 0.500, 0.500]],
  "total_energy_ev_per_fu": -60.99
}

=====

{
  "formula": "Ta5Co7",
  "functional": "PBE-GGA",
  "state": "optimized geometry",
  "lattice": [[5.026, 0.000, 0.000], [-2.513, 4.353, 0.000], [0.000, 0.000, 16.240]],
  "species": ["Ta", "Ta", "Ta", "Ta", "Ta", "Ta", "Ta", "Ta", "Ta", "Ta", "Co", "Co", "Co", "Co", "Co", "Co", "Co", "Co", "Co", "Co", "Co", "Co", "Co", "Co"],
  "frac_coords": [[0.000, 0.500, 0.000], [0.500, 0.500, 0.500], [0.667, 0.333, 0.646], [0.333, 0.667, 0.146], [0.500, 0.000, 0.500], [0.333, 0.667, 0.354], [0.667, 0.333, 0.854], [0.500, 0.500, 0.000], [0.000, 0.500, 0.500], [0.500, 0.000, 0.000], [0.667, 0.333, 0.158], [0.702, 0.851, 0.250], [0.333, 0.667, 0.842], [0.000, 0.000, 0.911], [0.298, 0.149, 0.750], [0.000, 0.000, 0.589], [0.851, 0.702, 0.750], [0.000, 0.000, 0.411], [0.149, 0.851, 0.250], [0.667, 0.333, 0.342], [0.333, 0.667, 0.658], [0.000, 0.000, 0.089], [0.851, 0.149, 0.750], [0.149, 0.298, 0.250]],
  "polymorph_energy_mev_per_atom": 328
}

=====

{
  "formula": "SmGdNO",
  "functional": "PBE-GGA",
  "state": "optimized geometry",
  "lattice": [[-4.050, -0.254, 1.331], [0.145, -4.252, -0.371], [2.541, -0.577, 7.620]],
  "species": ["O", "O", "N", "N", "Sm", "Sm", "Gd", "Gd"],
  "frac_coords": [[0.250, 0.750, 0.000], [0.750, 0.250, 0.000], [0.250, 0.250, 0.641], [0.750, 0.750, 0.359], [0.750, 0.250, 0.500], [0.250, 0.750, 0.500], [0.250, 0.250, 0.107], [0.750, 0.750, 0.893]],
  "polymorph_energy_mev_per_atom": 522
}

=====

{
  "formula": "RbTlPtC2",
  "functional": "PBE-GGA",
  "state": "optimized geometry",
  "lattice": [[5.212, 0.000, 0.000], [-2.606, 4.514, 0.000], [0.000, 0.000, 5.249]],
  "species": ["C", "C", "Pt", "Rb", "Tl"],
  "frac_coords": [[0.000, 0.000, 0.322], [0.000, 0.000, 0.564], [0.000, 0.000, 0.945], [0.667, 0.333, 0.324], [0.333, 0.667, 0.844]],
  "total_energy_ev_per_fu": -27.18
}

=====

{
  "formula": "Er2Ni",
  "functional": "PBE-GGA",
  "state": "optimized geometry",
  "lattice": [[-4.128, 4.042, -2.737], [-2.518, -4.834, -3.341], [-2.546, -0.657, 2.870]],
  "species": ["Er", "Er", "Er", "Er", "Ni", "Ni"],
  "frac_coords": [[0.299, 0.299, 0.000], [0.201, 0.799, 0.500], [0.799, 0.201, 0.500], [0.701, 0.701, 0.000], [0.000, 0.000, 0.000], [0.500, 0.500, 0.500]],
  "total_energy_ev_per_fu": -15.28
}

=====

{
  "formula": "NaZrAgTe2Se",
  "functional": "PBE-GGA",
  "state": "optimized geometry",
  "lattice": [[5.216, 2.750, -4.772], [-6.703, -3.394, 1.042], [-4.765, 9.490, 0.260]],
  "species": ["Zr", "Zr", "Te", "Te", "Te", "Te", "Ag", "Ag", "Na", "Na", "Se", "Se"],
  "frac_coords": [[0.000, 0.000, 0.000], [0.000, 0.000, 0.500], [0.643, 0.357, 0.538], [0.643, 0.357, 0.962], [0.357, 0.643, 0.462], [0.357, 0.643, 0.038], [0.538, 0.462, 0.750], [0.462, 0.538, 0.250], [0.746, 0.254, 0.250], [0.254, 0.746, 0.750], [0.075, 0.925, 0.250], [0.925, 0.075, 0.750]],
  "polymorph_energy_mev_per_atom": 81
}

=====

{
  "formula": "PtPbAu",
  "functional": "PBE-GGA",
  "state": "optimized geometry",
  "lattice": [[0.000, 3.246, 3.246], [3.246, 0.000, 3.246], [3.246, 3.246, 0.000]],
  "species": ["Pb", "Au", "Pt"],
  "frac_coords": [[0.750, 0.750, 0.750], [0.250, 0.250, 0.250], [0.000, 0.000, 0.000]],
  "polymorph_energy_mev_per_atom": 0
}

=====

{
  "formula": "Dy5ZnAg4",
  "functional": "PBE-GGA",
  "state": "optimized geometry",
  "lattice": [[3.601, 0.000, 0.000], [0.000, 3.601, 0.000], [0.000, 0.000, 18.231]],
  "species": ["Ag", "Ag", "Ag", "Ag", "Dy", "Dy", "Dy", "Dy", "Dy", "Zn"],
  "frac_coords": [[0.000, 0.000, 0.804], [0.000, 0.000, 0.601], [0.000, 0.000, 0.399], [0.000, 0.000, 0.196], [0.500, 0.500, 0.702], [0.500, 0.500, 0.500], [0.500, 0.500, 0.096], [0.500, 0.500, 0.298], [0.500, 0.500, 0.904], [0.000, 0.000, 0.000]],
  "total_energy_ev_per_fu": -38.97
}

=====

{
  "formula": "SiSbAu",
  "functional": "PBE-GGA",
  "state": "optimized geometry",
  "lattice": [[0.000, 3.231, 3.231], [3.231, 0.000, 3.231], [3.231, 3.231, 0.000]],
  "species": ["Si", "Sb", "Au"],
  "frac_coords": [[0.000, 0.000, 0.000], [0.750, 0.750, 0.750], [0.250, 0.250, 0.250]],
  "polymorph_energy_mev_per_atom": 168
}